1.
# PaMnGa | Alexandria via LeMat-Bulk | PBE | relaxed
# **DOS(E_F)**: 3.8 states/eV/cell
# **E_tot**: -7.37 eV per atom
data_PaMnGa
_space_group_name_H-M_alt 'P -6 m 2'
_space_group_IT_number 187
_space_group_name_Hall 'P -6 2'
_cell_length_a 4.5290
_cell_length_b 4.5290
_cell_length_c 3.1659
_cell_angle_alpha 90.00
_cell_angle_beta 90.00
_cell_angle_gamma 120.00
loop_
_atom_site_label
_atom_site_fract_x
_atom_site_fract_y
_atom_site_fract_z
Pa1 0.0000 0.0000 0.0000
Mn1 0.3333 0.6667 0.5000
Ga1 0.6667 0.3333 0.5000

=====

2.
# PaMn3Ga9 | Alexandria via LeMat-Bulk | PBE | relaxed
# **DOS(E_F)**: 19.7 states/eV/cell
# **E_tot**: -5.09 eV per atom
data_PaMn3Ga9
_space_group_name_H-M_alt 'C 1 2/m 1'
_space_group_IT_number 12
_cell_length_a 5.148
_cell_length_b 12.644
_cell_length_c 6.750
_cell_angle_alpha 90.00
_cell_angle_beta 111.44
_cell_angle_gamma 90.00
loop_
_space_group_symop_operation_xyz
'x,y,z'
'-x,-y,-z'
'-x,y,-z'
'x,-y,z'
'x+1/2,y+1/2,z'
'-x+1/2,-y+1/2,-z'
'-x+1/2,y+1/2,-z'
'x+1/2,-y+1/2,z'
loop_
_atom_site_label
_atom_site_fract_x
_atom_site_fract_y
_atom_site_fract_z
Pa1 0.000 0.000 0.000
Mn1 0.000 0.500 0.500
Mn2 0.250 0.250 0.000
Ga1 0.000 0.000 0.500
Ga2 0.097 0.389 0.211
Ga3 0.181 0.178 0.337